(1)
# CeY12Er7

CeY12Er7 after structural relaxation (GGA-PBE, the Alexandria database).

**ΔE to the lowest computed polymorph**: 449 meV/atom
**VASP energy**: -5.0493 eV per atom
**SG**: No. 204
**Total magnetic moment**: 1.3 μB/cell
**Crystal system**: cubic

Lattice parameters (Å, degrees): 9.835 9.835 9.835 109.47 109.47 109.47
Each line ends with the local moment (μB).
Element x y z (fractional)
Er: 0.500 0.500 0.500  -0.02
Er: 0.500 0.000 0.500  0.00
Er: 0.500 0.500 0.000  0.00
Er: 0.000 0.500 0.500  0.00
Er: 0.500 0.000 0.000  -0.02
Er: 0.000 0.500 0.000  -0.02
Er: 0.000 0.000 0.500  -0.02
Y: 0.257 0.742 0.999  0.00
Y: 0.742 0.999 0.257  0.00
Y: 0.484 0.743 0.742  0.00
Y: 0.516 0.257 0.258  0.00
Y: 0.258 0.001 0.743  0.00
Y: 0.742 0.484 0.743  0.00
Y: 0.001 0.743 0.258  0.00
Y: 0.257 0.258 0.516  0.00
Y: 0.743 0.742 0.484  0.00
Y: 0.258 0.516 0.257  0.00
Y: 0.999 0.257 0.742  0.00
Y: 0.743 0.258 0.001  0.00
Ce: 0.000 0.000 0.000  1.18

---

(2)
# CeY12Er6

CeY12Er6 after structural relaxation (GGA-PBE, the Alexandria database).

**VASP energy**: -5.6889 eV per atom
**SG**: No. 166
**Total magnetic moment**: 1.5 μB/cell
**Crystal system**: trigonal

Lattice parameters (Å, degrees): 8.657 8.657 8.657 98.06 98.06 98.06
Each line ends with the local moment (μB).
Element x y z (fractional)
Er: 0.593 0.860 0.861  -0.04
Er: 0.860 0.861 0.593  -0.04
Er: 0.140 0.139 0.407  -0.04
Er: 0.407 0.140 0.139  -0.04
Er: 0.861 0.593 0.860  -0.04
Er: 0.139 0.407 0.140  -0.04
Y: 0.737 0.263 0.000  -0.03
Y: 0.263 0.737 0.000  -0.03
Y: 0.832 0.409 0.409  -0.01
Y: 0.000 0.263 0.737  -0.03
Y: 0.591 0.168 0.591  -0.01
Y: 0.000 0.737 0.263  -0.03
Y: 0.263 0.000 0.737  -0.03
Y: 0.409 0.409 0.832  -0.01
Y: 0.409 0.832 0.409  -0.01
Y: 0.591 0.591 0.168  -0.01
Y: 0.737 0.000 0.263  -0.03
Y: 0.168 0.591 0.591  -0.01
Ce: 0.000 0.000 0.000  -0.66

---

(3)
# CeY4Er3

CeY4Er3 after structural relaxation (GGA-PBE, the Alexandria database).

**ΔE to the lowest computed polymorph**: 0 meV/atom
**VASP energy**: -5.6497 eV per atom
**SG**: No. 31
**Total magnetic moment**: 0.0 μB/cell
**Crystal system**: orthorhombic

Lattice parameters (Å, degrees): 6.234 7.235 11.264 90.00 90.00 90.00
Element x y z (fractional)
Y: 0.643 0.129 0.500
Y: 0.487 0.871 0.749
Y: 0.987 0.129 0.751
Y: 0.987 0.129 0.249
Y: 0.144 0.871 0.500
Y: 0.143 0.871 0.000
Y: 0.644 0.129 0.000
Y: 0.487 0.871 0.251
Er: 0.978 0.621 0.250
Er: 0.650 0.622 0.000
Er: 0.978 0.621 0.750
Er: 0.150 0.378 0.500
Er: 0.478 0.379 0.750
Er: 0.478 0.379 0.250
Ce: 0.149 0.380 0.000
Ce: 0.649 0.620 0.500

---

(4)
# Ce2Y12Er5

Ce2Y12Er5 after structural relaxation (GGA-PBE, the Alexandria database).

**VASP energy**: -5.7727 eV per atom
**SG**: No. 2
**Total magnetic moment**: 0.8 μB/cell
**Crystal system**: triclinic

Lattice parameters (Å, degrees): 6.724 17.728 8.900 139.05 99.97 99.45
Each line ends with the local moment (μB).
Element x y z (fractional)
Y: 0.164 0.781 0.342  0.00
Y: 0.595 0.101 0.808  0.00
Y: 0.516 0.613 0.836  0.01
Y: 0.022 0.408 0.249  0.01
Y: 0.405 0.899 0.192  0.00
Y: 0.836 0.219 0.658  0.00
Y: 0.304 0.191 0.530  -0.01
Y: 0.978 0.592 0.751  0.01
Y: 0.836 0.757 0.755  -0.01
Y: 0.696 0.809 0.470  -0.01
Y: 0.164 0.243 0.245  -0.01
Y: 0.484 0.387 0.164  0.01
Er: 0.236 0.489 0.951  0.02
Er: 0.718 0.302 0.423  -0.01
Er: 0.000 0.000 0.500  -0.01
Er: 0.282 0.698 0.577  -0.01
Er: 0.764 0.511 0.049  0.02
Ce: 0.283 0.991 0.956  -0.35
Ce: 0.717 0.009 0.044  -0.35